# 1
VASP calculation (GGA-PBE) on a relaxed SiNiAsP2 crystal.

Computed properties:
offset from the most stable computed form = 180 meV per atom
raw formation energy = -34 meV per atom

a = 4.329 Å, b = 4.649 Å, c = 4.881 Å
α = 78.69°, β = 68.82°, γ = 82.71°
Space group P1 (No. 1)
Inequivalent atoms, fractional coordinates:
Si (0.000, 0.000, 0.000)
Ni (0.130, 0.344, 0.585)
As (0.682, 0.133, 0.488)
P (0.330, 0.666, 0.184)
P (0.785, 0.690, 0.805)



# 2
VASP calculation (GGA-PBE) on a relaxed Sm2Ni4As3P crystal.

Computed properties:
E_form = -0.86 eV/atom

a = 4.154 Å, b = 4.154 Å, c = 9.364 Å
α = 90.00°, β = 90.00°, γ = 90.00°
Space group P-4m2 (No. 115)
Inequivalent atoms, fractional coordinates:
Sm (0.000, 0.500, 0.247)
Ni (0.000, 0.000, 0.500)
Ni (0.000, 0.500, 0.887)
Ni (0.500, 0.500, 0.500)
As (0.000, 0.000, 0.000)
As (0.000, 0.500, 0.632)
P (0.500, 0.500, 0.000)



# 3
VASP calculation (GGA-PBE) on a relaxed Sm2Ni4AsP3 crystal.

Computed properties:
E_form = -0.94 eV/atom

a = 4.059 Å, b = 4.059 Å, c = 9.245 Å
α = 90.00°, β = 90.00°, γ = 90.00°
Space group P-4m2 (No. 115)
Inequivalent atoms, fractional coordinates:
Sm (0.000, 0.500, 0.246)
Ni (0.000, 0.000, 0.000)
Ni (0.000, 0.500, 0.625)
Ni (0.500, 0.500, 0.000)
As (0.000, 0.000, 0.500)
P (0.000, 0.500, 0.872)
P (0.500, 0.500, 0.500)



# 4
VASP calculation (GGA-PBE) on a relaxed SrNi4AsP2 crystal.

Computed properties:
E_form = -0.59 eV/atom

a = 3.837 Å, b = 3.837 Å, c = 8.661 Å
α = 90.00°, β = 90.00°, γ = 90.00°
Space group P4/mmm (No. 123)
Inequivalent atoms, fractional coordinates:
Sr (0.000, 0.000, 0.000)
Ni (0.000, 0.500, 0.333)
As (0.000, 0.000, 0.500)
P (0.500, 0.500, 0.203)



# 5
VASP calculation (GGA-PBE) on a relaxed SrNi3AsP crystal.

Computed properties:
E_form = -0.48 eV/atom

a = 6.112 Å, b = 12.210 Å, c = 5.822 Å
α = 90.00°, β = 90.00°, γ = 90.00°
Space group Cmcm (No. 63)
Inequivalent atoms, fractional coordinates:
Sr (0.000, 0.243, 0.250)
Ni (0.000, 0.245, 0.750)
Ni (0.214, 0.500, 0.000)
As (0.000, 0.063, 0.750)
P (0.000, 0.416, 0.750)



# 6
VASP calculation (GGA-PBE) on a relaxed Tb2Ni4As3P crystal.

Computed properties:
E_form = -0.85 eV/atom

a = 4.122 Å, b = 4.122 Å, c = 9.312 Å
α = 90.00°, β = 90.00°, γ = 90.00°
Space group P-4m2 (No. 115)
Inequivalent atoms, fractional coordinates:
Tb (0.000, 0.500, 0.246)
Ni (0.000, 0.000, 0.500)
Ni (0.000, 0.500, 0.886)
Ni (0.500, 0.500, 0.500)
As (0.000, 0.000, 0.000)
As (0.000, 0.500, 0.633)
P (0.500, 0.500, 0.000)



# 7
VASP calculation (GGA-PBE) on a relaxed Ni2TeAsP crystal.

Computed properties:
raw formation energy = 1142 meV per atom

a = 4.588 Å, b = 4.588 Å, c = 5.500 Å
α = 90.00°, β = 90.00°, γ = 90.00°
Space group P4/mmm (No. 123)
Inequivalent atoms, fractional coordinates:
Ni (0.000, 0.500, 0.000)
Te (0.000, 0.000, 0.000)
As (0.000, 0.000, 0.500)
P (0.500, 0.500, 0.500)



# 8
VASP calculation (GGA-PBE) on a relaxed Th2Ni4As3P crystal.

Computed properties:
E_form = -0.87 eV/atom

a = 4.236 Å, b = 4.236 Å, c = 9.206 Å
α = 90.00°, β = 90.00°, γ = 90.00°
Space group P-4m2 (No. 115)
Inequivalent atoms, fractional coordinates:
Th (0.000, 0.500, 0.249)
Ni (0.000, 0.000, 0.000)
Ni (0.000, 0.500, 0.610)
Ni (0.500, 0.500, 0.000)
As (0.000, 0.500, 0.870)
As (0.500, 0.500, 0.500)
P (0.000, 0.000, 0.500)



no.,E (eV per cell),DOS(E_F) (states/eV/cell),theoretical density (Mg/m³)
1,-26.85,1.71,4.143
2,-60.53,3.25,8.132
3,-62.83,3.38,7.670
4,-44.96,4.86,5.981
5,-127.80,12.03,5.651
6,-60.20,3.20,8.483
7,-19.05,6.37,5.034
8,-66.05,6.76,9.595